Entry 1:
# PBE LuPaPb, relaxed
# Crystal system: tetragonal
data_LuPaPb
_space_group_name_H-M_alt 'I 4 m m'
_space_group_IT_number 107
_space_group_name_Hall 'I 4 -2'
_cell_length_a 3.963
_cell_length_b 3.963
_cell_length_c 10.507
_cell_angle_alpha 90.00
_cell_angle_beta 90.00
_cell_angle_gamma 90.00
loop_
_atom_site_label
_atom_site_type_symbol
_atom_site_fract_x
_atom_site_fract_y
_atom_site_fract_z
Lu1 Lu 0.000 0.000 0.000
Pa1 Pa 0.000 0.000 0.312
Pb1 Pb 0.000 0.000 0.648


Entry 2:
# PBE LiZn3C, relaxed
# Crystal system: cubic
data_LiZn3C
_space_group_name_H-M_alt 'P m -3 m'
_space_group_IT_number 221
_space_group_name_Hall '-P 4 2 3'
_cell_length_a 4.316
_cell_length_b 4.316
_cell_length_c 4.316
_cell_angle_alpha 90.00
_cell_angle_beta 90.00
_cell_angle_gamma 90.00
loop_
_atom_site_label
_atom_site_type_symbol
_atom_site_fract_x
_atom_site_fract_y
_atom_site_fract_z
Li1 Li 0.000 0.000 0.000
Zn1 Zn 0.000 0.000 0.500
C1 C 0.500 0.500 0.500


Number 1: formation energy 0.150 eV/atom. Number 2: formation energy 1.597 eV/atom.